Compound: U6Sb
Source: Alexandria
Functional: PBE
Structure: relaxed

N(E_F) = 26.2 states/eV/f.u.
Size of the total moment = 2.7 μB/f.u.
Space group = Im-3m (229)
E = -9.228 eV/atom
Formation energy from raw total energies = 1.04 eV/atom

abc: 6.1826 6.1826 6.1826
angles: 109.47 109.47 109.47
Atoms (fractional coordinates):
U 0.2500 0.5000 0.7500
U 0.2500 0.7500 0.5000
U 0.5000 0.2500 0.7500
U 0.5000 0.7500 0.2500
U 0.7500 0.2500 0.5000
U 0.7500 0.5000 0.2500
Sb 0.0000 0.0000 0.0000